## K3YTa2O9 (PBE-GGA)

Data for K3YTa2O9 after structural relaxation.

a = 5.921 Å, b = 5.921 Å, c = 7.290 Å
α = 90.00°, β = 90.00°, γ = 120.00°
Fractional coordinates of all 15 atoms:
1 K 0.000 0.000 0.000
2 K 0.333 0.667 0.669
3 K 0.667 0.333 0.331
4 Y 0.000 0.000 0.500
5 Ta 0.333 0.667 0.165
6 Ta 0.667 0.333 0.835
7 O 0.000 0.500 0.000
8 O 0.177 0.353 0.314
9 O 0.177 0.823 0.314
10 O 0.353 0.177 0.686
11 O 0.500 0.000 0.000
12 O 0.500 0.500 0.000
13 O 0.647 0.823 0.314
14 O 0.823 0.177 0.686
15 O 0.823 0.647 0.686

Properties
Its uncorrected formation energy is -36.8 eV per formula unit. As for the space group: P-3m1, No. 164.